No. 1
The following is a DFT calculation (PBE) of a relaxed Cr2CoCl crystal.

Cell: 7.872 7.872 7.872 Å, 19.72 19.72 19.72°
Sites, in units of the cell vectors:
Co1 0.750 0.750 0.750
Cr1 0.999 0.999 0.999
Cr2 0.501 0.501 0.501
Cl1 0.250 0.250 0.250

***

No. 2
The following is a DFT calculation (PBE) of a relaxed Cr2CoCl crystal.

Cell: 5.038 5.038 5.038 Å, 139.56 139.56 58.52°
Sites, in units of the cell vectors:
Cl1 0.500 0.500 0.000
Cr1 0.750 0.250 0.500
Cr2 0.000 0.000 0.000
Co1 0.250 0.750 0.500

***

No. 3
The following is a DFT calculation (PBE) of a relaxed CrCo3Cl crystal.

Cell: 4.310 4.310 4.310 Å, 90.00 90.00 90.00°
Sites, in units of the cell vectors:
Co1 0.000 0.500 0.000
Co2 0.000 0.000 0.500
Cl1 0.500 0.500 0.500
Co3 0.500 0.000 0.000
Cr1 0.000 0.000 0.000

***

No. 4
The following is a DFT calculation (PBE) of a relaxed Cr2CoCl crystal.

Cell: 2.756 2.756 6.270 Å, 90.00 90.00 89.98°
Sites, in units of the cell vectors:
Cr1 0.000 0.000 0.995
Co1 0.500 0.500 0.750
Cl1 0.500 0.500 0.250
Cr2 0.000 0.000 0.505

***

No. 5
The following is a DFT calculation (PBE) of a relaxed CrCo2Cl crystal.

Cell: 2.888 2.888 7.327 Å, 90.00 90.00 90.00°
Sites, in units of the cell vectors:
Cr1 0.000 0.000 0.478
Co1 0.500 0.500 0.246
Cl1 0.500 0.500 0.691
Co2 0.000 0.000 0.085

***

No. 6
The following is a DFT calculation (PBE) of a relaxed CrCoCl crystal.

Cell: 3.892 3.892 3.892 Å, 60.00 60.00 60.00°
Sites, in units of the cell vectors:
Cl1 0.000 0.000 0.000
Co1 0.500 0.500 0.500
Cr1 0.750 0.750 0.750

***

No. 7
The following is a DFT calculation (PBE) of a relaxed Cr2CoCl crystal.

Cell: 2.963 2.963 6.435 Å, 90.00 90.00 90.00°
Sites, in units of the cell vectors:
Cr1 0.000 0.000 0.985
Cr2 0.500 0.500 0.216
Cl1 0.000 0.000 0.497
Co1 0.500 0.500 0.802

***

No. 8
The following is a DFT calculation (PBE) of a relaxed CrCoCl2 crystal.

Cell: 7.647 7.647 7.647 Å, 23.18 23.18 23.18°
Sites, in units of the cell vectors:
Co1 0.000 0.000 0.000
Cr1 0.500 0.500 0.500
Cl1 0.097 0.097 0.097
Cl2 0.903 0.903 0.903

***

No. 9
The following is a DFT calculation (PBE) of a relaxed Cr2CoCl crystal.

Cell: 4.480 4.480 2.713 Å, 90.00 90.00 117.31°
Sites, in units of the cell vectors:
Cr1 0.000 0.000 0.000
Cl1 0.500 0.000 0.500
Cr2 0.500 0.500 0.000
Co1 0.000 0.500 0.500

***

No. 10
The following is a DFT calculation (PBE) of a relaxed CrCo2Cl crystal.

Cell: 2.809 3.072 6.385 Å, 90.07 90.00 90.00°
Sites, in units of the cell vectors:
Co1 0.000 0.750 0.055
Cr1 0.500 0.250 0.250
Co2 0.000 0.750 0.445
Cl1 0.500 0.750 0.750

***

No. 11
The following is a DFT calculation (PBE) of a relaxed Cr2CoCl crystal.

Cell: 4.052 4.052 4.052 Å, 60.00 60.00 60.00°
Sites, in units of the cell vectors:
Cl1 0.000 0.000 0.000
Co1 0.500 0.500 0.500
Cr1 0.250 0.250 0.250
Cr2 0.750 0.750 0.750

***

No. 12
The following is a DFT calculation (PBE) of a relaxed CrCoCl2 crystal.

Cell: 3.046 3.046 8.095 Å, 90.00 90.00 90.00°
Sites, in units of the cell vectors:
Cl1 0.000 0.000 0.910
Cr1 0.500 0.500 0.734
Co1 0.000 0.000 0.501
Cl2 0.500 0.500 0.356

***

No. 13
The following is a DFT calculation (PBE) of a relaxed CrCo2Cl crystal.

Cell: 2.896 2.968 6.798 Å, 89.98 90.00 90.00°
Sites, in units of the cell vectors:
Cr1 0.000 0.750 0.465
Co1 0.500 0.250 0.235
Cl1 0.500 0.751 0.744
Co2 0.000 0.750 0.056

***

No. 14
The following is a DFT calculation (PBE) of a relaxed CrCo2Cl crystal.

Cell: 4.947 4.947 4.947 Å, 147.88 129.85 60.81°
Sites, in units of the cell vectors:
Cr1 0.524 0.524 0.000
Co1 0.986 0.986 0.000
Cl1 0.743 0.243 0.500
Co2 0.247 0.747 0.500

***

No. 15
The following is a DFT calculation (PBE) of a relaxed Cr2CoCl crystal.

Cell: 4.232 4.232 4.232 Å, 60.00 60.00 60.00°
Sites, in units of the cell vectors:
Cl1 0.500 0.500 0.500
Cr1 0.000 0.000 0.000
Co1 0.750 0.750 0.750
Cr2 0.250 0.250 0.250

***

No. 16
The following is a DFT calculation (PBE) of a relaxed CrCo2Cl crystal.

Cell: 4.089 4.089 4.089 Å, 120.05 120.05 89.91°
Sites, in units of the cell vectors:
Cr1 0.500 0.500 0.000
Co1 0.250 0.750 0.500
Co2 0.000 0.000 0.000
Cl1 0.750 0.250 0.500

***

No. 17
The following is a DFT calculation (PBE) of a relaxed Cs2CrCoCl6 crystal.

Cell: 7.098 7.098 7.088 Å, 59.96 59.96 90.00°
Sites, in units of the cell vectors:
Cr1 0.500 0.500 0.000
Cs1 0.750 0.250 0.500
Cl1 0.253 0.747 0.000
Cs2 0.250 0.750 0.500
Cl2 0.749 0.749 0.501
Cl3 0.747 0.253 0.000
Co1 0.000 0.000 0.000
Cl4 0.747 0.747 0.000
Cl5 0.251 0.251 0.499
Cl6 0.253 0.253 0.000

***

No. 18
The following is a DFT calculation (PBE) of a relaxed KCr2CoCl8 crystal.

Cell: 6.261 6.073 7.586 Å, 90.00 90.00 82.25°
Sites, in units of the cell vectors:
Cl1 0.832 0.262 0.787
Cr1 0.500 0.500 0.764
Cl2 0.832 0.262 0.213
Co1 0.000 0.000 0.000
Cl3 0.168 0.738 0.787
K1 0.000 0.000 0.500
Cr2 0.500 0.500 0.236
Cl4 0.633 0.718 0.000
Cl5 0.367 0.282 0.000
Cl6 0.168 0.738 0.213
Cl7 0.378 0.302 0.500
Cl8 0.622 0.698 0.500

***

No. 19
The following is a DFT calculation (PBE) of a relaxed LaCrCo2Cl crystal.

Cell: 4.392 4.425 4.392 Å, 90.00 90.00 90.00°
Sites, in units of the cell vectors:
Cl1 0.000 0.000 0.000
Co1 0.000 0.000 0.500
Cr1 0.000 0.500 0.000
Co2 0.500 0.000 0.000
La1 0.500 0.500 0.500

***

No. 20
The following is a DFT calculation (PBE) of a relaxed NaCr2CoCl crystal.

Cell: 5.298 4.650 5.298 Å, 90.00 90.00 90.00°
Sites, in units of the cell vectors:
Co1 0.500 0.500 0.500
Cl1 0.000 0.500 0.000
Na1 0.000 0.000 0.000
Cr1 0.500 0.000 0.000
Cr2 0.000 0.000 0.500

***

DOS(E_F) values (in states/eV per atom) by entry order: 1.089, 1.560, 2.056, 0.847, 1.350, 1.122, 0.827, 1.091, 1.203, 1.251, 1.435, 1.276, 1.434, 1.441, 1.353, 1.153, 1.869, 0.557, 1.243, 0.613.
Raw formation energy values (in eV/atom) by entry order: 0.476, 0.899, 1.385, 0.467, 0.379, 0.755, 0.358, 0.234, 0.776, 0.310, 0.793, 0.049, 0.284, 0.674, 0.893, 0.791, -1.236, -0.957, 0.500, 1.544.